No. 1
Here is a relaxed Co2IrRh crystal from the Alexandria database. Energies are from PBE-GGA.

Cell and atoms, written as CIF:
```
data_Co2IrRh
_chemical_formula_sum 'Co2 Ir1 Rh1'
_cell_length_a 2.631
_cell_length_b 4.353
_cell_length_c 4.670
_cell_angle_alpha 90.00
_cell_angle_beta 92.50
_cell_angle_gamma 90.00
_space_group_name_H-M_alt 'P 1 2/m 1'
_space_group_IT_number 10
loop_
_space_group_symop_operation_xyz
'x,y,z'
'-x,-y,-z'
'-x,y,-z'
'x,-y,z'
loop_
_atom_site_label
_atom_site_fract_x
_atom_site_fract_y
_atom_site_fract_z
_atom_site_occupancy
Co1 0.246 0.000 0.251 1
Ir1 0.000 0.500 0.500 1
Rh1 0.500 0.500 0.000 1
```

Computed properties:
For the total magnetization, the calculation gives 5.110 μB/cell. The calculation puts the formation energy at 245 meV per atom.



No. 2
Here is a relaxed Co2Ir2Rh crystal from the Alexandria database. Energies are from PBE-GGA.

Cell and atoms, written as CIF:
```
data_Co2Ir2Rh
_chemical_formula_sum 'Co4 Ir4 Rh2'
_cell_length_a 3.952
_cell_length_b 12.459
_cell_length_c 2.663
_cell_angle_alpha 90.00
_cell_angle_beta 90.00
_cell_angle_gamma 90.00
_space_group_name_H-M_alt 'C m m m'
_space_group_IT_number 65
_space_group_name_Hall '-C 2 2'
loop_
_atom_site_label
_atom_site_fract_x
_atom_site_fract_y
_atom_site_fract_z
_atom_site_occupancy
Co1 0.000 0.203 0.000 1
Ir1 0.000 0.387 0.500 1
Rh1 0.000 0.000 0.000 1
```

Computed properties:
For the total magnetization, the calculation gives 7.364 μB/cell. The calculation puts the formation energy at 61 meV per atom.



No. 3
Here is a relaxed Co4Ir15Rh crystal from the Alexandria database. Energies are from PBE-GGA.

Cell and atoms, written as CIF:
```
data_Co4Ir15Rh
_chemical_formula_sum 'Co4 Ir15 Rh1'
_cell_length_a 3.816
_cell_length_b 3.816
_cell_length_c 19.040
_cell_angle_alpha 90.00
_cell_angle_beta 90.00
_cell_angle_gamma 90.00
_space_group_name_H-M_alt 'P 4/m m m'
_space_group_IT_number 123
_space_group_name_Hall '-P 4 2'
loop_
_atom_site_label
_atom_site_fract_x
_atom_site_fract_y
_atom_site_fract_z
_atom_site_occupancy
Co1 0.000 0.000 0.101 1
Co2 0.000 0.000 0.298 1
Ir1 0.000 0.500 0.000 1
Ir2 0.000 0.500 0.199 1
Ir3 0.000 0.500 0.397 1
Ir4 0.500 0.500 0.099 1
Ir5 0.500 0.500 0.298 1
Ir6 0.500 0.500 0.500 1
Rh1 0.000 0.000 0.500 1
```

Computed properties:
For the total magnetization, the calculation gives 1.198 μB/cell. The calculation puts the formation energy at 31 meV per atom.



Repeat the third record exactly.
Here is a relaxed Co4Ir15Rh crystal from the Alexandria database. Energies are from PBE-GGA.

Cell and atoms, written as CIF:
```
data_Co4Ir15Rh
_chemical_formula_sum 'Co4 Ir15 Rh1'
_cell_length_a 3.816
_cell_length_b 3.816
_cell_length_c 19.040
_cell_angle_alpha 90.00
_cell_angle_beta 90.00
_cell_angle_gamma 90.00
_space_group_name_H-M_alt 'P 4/m m m'
_space_group_IT_number 123
_space_group_name_Hall '-P 4 2'
loop_
_atom_site_label
_atom_site_fract_x
_atom_site_fract_y
_atom_site_fract_z
_atom_site_occupancy
Co1 0.000 0.000 0.101 1
Co2 0.000 0.000 0.298 1
Ir1 0.000 0.500 0.000 1
Ir2 0.000 0.500 0.199 1
Ir3 0.000 0.500 0.397 1
Ir4 0.500 0.500 0.099 1
Ir5 0.500 0.500 0.298 1
Ir6 0.500 0.500 0.500 1
Rh1 0.000 0.000 0.500 1
```

Computed properties:
For the total magnetization, the calculation gives 1.198 μB/cell. The calculation puts the formation energy at 31 meV per atom.



Please write out number 2 again, unchanged.
Here is a relaxed Co2Ir2Rh crystal from the Alexandria database. Energies are from PBE-GGA.

Cell and atoms, written as CIF:
```
data_Co2Ir2Rh
_chemical_formula_sum 'Co4 Ir4 Rh2'
_cell_length_a 3.952
_cell_length_b 12.459
_cell_length_c 2.663
_cell_angle_alpha 90.00
_cell_angle_beta 90.00
_cell_angle_gamma 90.00
_space_group_name_H-M_alt 'C m m m'
_space_group_IT_number 65
_space_group_name_Hall '-C 2 2'
loop_
_atom_site_label
_atom_site_fract_x
_atom_site_fract_y
_atom_site_fract_z
_atom_site_occupancy
Co1 0.000 0.203 0.000 1
Ir1 0.000 0.387 0.500 1
Rh1 0.000 0.000 0.000 1
```

Computed properties:
For the total magnetization, the calculation gives 7.364 μB/cell. The calculation puts the formation energy at 61 meV per atom.